Record 1
This record from Alexandria via LeMat-Bulk describes a relaxed KAs3Cl crystal. The functional is PBE.

Unit cell a=5.133 b=5.133 c=5.133 alpha=90.00 beta=90.00 gamma=90.00
Fractional coordinates of all 5 atoms:
K (0.000, 0.000, 0.000)
As (0.000, 0.500, 0.500)
As (0.500, 0.000, 0.500)
As (0.500, 0.500, 0.000)
Cl (0.500, 0.500, 0.500)

Output
Calculated volume = 27.06 A^3/atom
Formation energy without anion corrections = 0.64 eV per atom
Space group = No. 221
N(E_F) = 1.19 states/eV/atom

=====

Record 2
This record from Alexandria via LeMat-Bulk describes a relaxed K3As2Cl8 crystal. The functional is PBE.

Unit cell a=9.262 b=9.262 c=9.262 alpha=49.66 beta=49.66 gamma=49.66
Fractional coordinates of all 13 atoms:
K (0.000, 0.000, 0.000)
K (0.211, 0.211, 0.211)
K (0.789, 0.789, 0.789)
As (0.439, 0.439, 0.439)
As (0.561, 0.561, 0.561)
Cl (0.200, 0.741, 0.741)
Cl (0.259, 0.259, 0.800)
Cl (0.259, 0.800, 0.259)
Cl (0.335, 0.335, 0.335)
Cl (0.665, 0.665, 0.665)
Cl (0.741, 0.200, 0.741)
Cl (0.741, 0.741, 0.200)
Cl (0.800, 0.259, 0.259)

Output
Calculated volume = 32.65 A^3/atom
Formation energy without anion corrections = -1.12 eV per atom
Space group = No. 166
N(E_F) = 0.12 states/eV/atom